LiLaBi2 | GGA-PBE | optimized geometry

a = 5.5578 Å, b = 5.5578 Å, c = 9.8814 Å
α = 73.67°, β = 73.67°, γ = 90.00°
Fractional coordinates of all 8 atoms:
Bi  0.8750  0.7721  0.7500
Li  0.2500  0.7500  0.5000
Li  0.5000  0.5000  0.0000
La  0.0000  0.0000  0.0000
La  0.7500  0.2500  0.5000
Bi  0.2279  0.6250  0.2500
Bi  0.5221  0.1250  0.2500
Bi  0.3750  0.4779  0.7500

## Properties
formation enthalpy at 0 K = -0.320 eV/atom
space-group type = I-42d (122)
energy relative to the lowest polymorph listed for this composition = 433 meV/atom

LiLa2Bi2 | GGA-PBE | optimized geometry

a = 6.7339 Å, b = 6.8207 Å, c = 8.3378 Å
α = 114.14°, β = 113.82°, γ = 90.00°
Fractional coordinates of all 10 atoms:
Bi  0.3819  0.6182  0.7638
Bi  0.8819  0.1456  0.7638
La  0.3609  0.0804  0.7218
Li  0.2500  0.5000  0.0000
Bi  0.6181  0.3818  0.2362
La  0.6391  0.9196  0.2782
La  0.1391  0.3586  0.2782
Li  0.7500  0.5000  0.0000
Bi  0.1181  0.8544  0.2362
La  0.8609  0.6414  0.7218

## Properties
formation enthalpy at 0 K = -0.843 eV/atom
space-group type = Ibam (72)
energy relative to the lowest polymorph listed for this composition = 0 meV/atom

LiLa2Bi | GGA-PBE | optimized geometry

a = 7.1663 Å, b = 6.8521 Å, c = 6.8521 Å
α = 66.80°, β = 58.47°, γ = 58.47°
Fractional coordinates of all 8 atoms:
Bi  0.7500  0.7926  0.7074
La  0.2238  0.2762  0.7762
La  0.2762  0.7238  0.2238
La  0.7762  0.7238  0.2238
Li  0.7500  0.2019  0.2981
La  0.7238  0.2762  0.7762
Li  0.2500  0.7981  0.7019
Bi  0.2500  0.2074  0.2926

## Properties
formation enthalpy at 0 K = -0.496 eV/atom
space-group type = Imma (74)

LiLa2BiN | GGA-PBE | optimized geometry

a = 5.0969 Å, b = 5.0969 Å, c = 4.5890 Å
α = 90.00°, β = 90.00°, γ = 90.00°
Fractional coordinates of all 5 atoms:
Li  0.0000  0.0000  0.5000
La  0.0000  0.5000  0.0000
La  0.5000  0.0000  0.0000
Bi  0.5000  0.5000  0.5000
N  0.0000  0.0000  0.0000

## Properties
space-group type = P4/mmm (123)
E_form (uncorrected) = -973 meV per atom

Li2LaNd2Bi2 | GGA-PBE | optimized geometry

a = 4.9365 Å, b = 4.9365 Å, c = 9.8388 Å
α = 75.47°, β = 75.47°, γ = 60.00°
Fractional coordinates of all 7 atoms:
Li  0.4125  0.4125  0.7624
Nd  0.1313  0.1313  0.6060
Bi  0.7363  0.7363  0.7912
La  0.0000  0.0000  0.0000
Bi  0.2637  0.2637  0.2088
Nd  0.8687  0.8687  0.3940
Li  0.5875  0.5875  0.2376

## Properties
formation enthalpy at 0 K = -0.488 eV/atom
space-group type = R-3m (166)

Li2La2NdBi2 | GGA-PBE | optimized geometry

a = 4.9053 Å, b = 4.9053 Å, c = 9.9281 Å
α = 75.70°, β = 75.70°, γ = 60.00°
Fractional coordinates of all 7 atoms:
La  0.8677  0.8677  0.3970
Bi  0.2665  0.2665  0.2004
Bi  0.7335  0.7335  0.7996
Li  0.5936  0.5936  0.2191
Li  0.4064  0.4064  0.7809
La  0.1323  0.1323  0.6030
Nd  0.0000  0.0000  0.0000

## Properties
formation enthalpy at 0 K = -0.492 eV/atom
space-group type = R-3m (166)

LiLaNiBi | GGA-PBE | optimized geometry

a = 4.8992 Å, b = 4.8992 Å, c = 4.8992 Å
α = 60.00°, β = 60.00°, γ = 60.00°
Fractional coordinates of all 4 atoms:
Ni  0.2500  0.2500  0.2500
Bi  0.5000  0.5000  0.5000
Li  0.7500  0.7500  0.7500
La  0.0000  0.0000  0.0000

## Properties
formation enthalpy at 0 K = -0.401 eV/atom
space-group type = F-43m (216)

LiLa2NiBi | GGA-PBE | optimized geometry

a = 5.3485 Å, b = 5.3485 Å, c = 4.8078 Å
α = 90.00°, β = 90.00°, γ = 90.00°
Fractional coordinates of all 5 atoms:
Ni  0.0000  0.0000  0.0000
Bi  0.5000  0.5000  0.5000
La  0.5000  0.0000  0.0000
Li  0.0000  0.0000  0.5000
La  0.0000  0.5000  0.0000

## Properties
formation enthalpy at 0 K = -0.447 eV/atom
space-group type = P4/mmm (123)

Li2La2Bi2O | GGA-PBE | optimized geometry

a = 4.6863 Å, b = 4.6863 Å, c = 8.6753 Å
α = 105.67°, β = 105.67°, γ = 90.00°
Fractional coordinates of all 7 atoms:
La  0.8553  0.8553  0.7107
La  0.1447  0.1447  0.2893
Bi  0.6348  0.6348  0.2696
Li  0.0000  0.5000  0.0000
O  0.0000  0.0000  0.0000
Bi  0.3652  0.3652  0.7304
Li  0.5000  0.0000  0.0000

## Properties
space-group type = I4/mmm (139)
E_form (uncorrected) = -1392 meV per atom

LiLaBiO | GGA-PBE | optimized geometry

a = 4.1037 Å, b = 4.1037 Å, c = 11.1239 Å
α = 90.00°, β = 90.00°, γ = 90.00°
Fractional coordinates of all 8 atoms:
La  0.0000  0.5000  0.8912
La  0.5000  0.0000  0.1088
Li  0.5000  0.5000  0.5000
Li  0.0000  0.0000  0.5000
O  0.0000  0.0000  0.0000
Bi  0.0000  0.5000  0.3129
Bi  0.5000  0.0000  0.6871
O  0.5000  0.5000  0.0000

## Properties
space-group type = P4/nmm (129)
E_form (uncorrected) = -1811 meV per atom

Li2LaBi2O6 | GGA-PBE | optimized geometry

a = 5.7459 Å, b = 5.7459 Å, c = 5.5667 Å
α = 90.00°, β = 90.00°, γ = 120.00°
Fractional coordinates of all 11 atoms:
O  0.0000  0.3624  0.2364
O  0.0000  0.6376  0.7636
O  0.6376  0.6376  0.2364
Li  0.3333  0.6667  0.9993
O  0.3624  0.3624  0.7636
La  0.0000  0.0000  0.0000
O  0.6376  0.0000  0.7636
Li  0.6667  0.3333  0.0007
Bi  0.3333  0.6667  0.4994
Bi  0.6667  0.3333  0.5006
O  0.3624  0.0000  0.2364

## Properties
space-group type = P-31m (162)
E_form (uncorrected) = -1756 meV per atom

LiLa2BiO | GGA-PBE | optimized geometry

a = 5.1014 Å, b = 5.1014 Å, c = 4.4646 Å
α = 90.00°, β = 90.00°, γ = 90.00°
Fractional coordinates of all 5 atoms:
La  0.0000  0.5000  0.0000
Bi  0.5000  0.5000  0.5000
Li  0.0000  0.0000  0.5000
O  0.0000  0.0000  0.0000
La  0.5000  0.0000  0.0000

## Properties
space-group type = P4/mmm (123)
E_form (uncorrected) = -1522 meV per atom

Quick rundown of electronic total energy, same order as above: -31.8, -47.5, -35.3, -28.8, -29.5, -29.7, -18.1, -23.7, -36.1, -45.8, -65.6, -28.2 eV for the cell shown